Record 1
HoLuIn5 | PBE | optimized geometry

abc: 4.692 4.692 8.353
angles: 90.00 90.00 90.00
Space group P4/mmm (No. 123)
Unique sites:
1 Ho 0.000 0.000 0.000 (multiplicity 1)
2 Lu 0.000 0.000 0.500 (multiplicity 1)
3 In 0.000 0.500 0.268 (multiplicity 4)
4 In 0.500 0.500 0.000 (multiplicity 1)

Results
raw total energy: -3.531 eV/atom
magnetic moment: 0.00 μB per cell

=====

Record 2
HoLuIn4Ni2 | PBE | optimized geometry

abc: 7.438 4.286 10.355
angles: 90.00 90.00 90.00
Space group Amm2 (No. 38)
Unique sites:
1 Ho 0.000 0.000 0.000 (multiplicity 2)
2 Lu 0.500 0.000 0.866 (multiplicity 2)
3 In 0.201 0.000 0.290 (multiplicity 4)
4 In 0.300 0.000 0.576 (multiplicity 4)
5 Ni 0.000 0.000 0.716 (multiplicity 2)
6 Ni 0.500 0.000 0.148 (multiplicity 2)

Results
raw total energy: -4.322 eV/atom
magnetic moment: 0.01 μB per cell

=====

Record 3
HoLuIn2Ni4 | PBE | optimized geometry

abc: 3.981 5.059 6.958
angles: 90.00 90.00 90.00
Space group Pmm2 (No. 25)
Unique sites:
1 Ho 0.000 0.000 0.000 (multiplicity 1)
2 Lu 0.000 0.500 0.527 (multiplicity 1)
3 In 0.500 0.000 0.623 (multiplicity 1)
4 In 0.500 0.500 0.906 (multiplicity 1)
5 Ni 0.000 0.000 0.380 (multiplicity 1)
6 Ni 0.000 0.500 0.152 (multiplicity 1)
7 Ni 0.500 0.252 0.268 (multiplicity 2)

Results
raw total energy: -5.072 eV/atom
magnetic moment: 0.00 μB per cell

=====

Record 4
HoLu2In3Pt2 | PBE | optimized geometry

abc: 3.571 13.281 7.641
angles: 90.00 90.00 90.00
Space group Amm2 (No. 38)
Unique sites:
1 Ho 0.000 0.000 0.000 (multiplicity 2)
2 Lu 0.000 0.211 0.368 (multiplicity 4)
3 In 0.500 0.000 0.349 (multiplicity 2)
4 In 0.500 0.116 0.694 (multiplicity 4)
5 Pt 0.500 0.168 0.080 (multiplicity 4)

Results
raw total energy: -5.132 eV/atom
magnetic moment: 0.04 μB per cell

=====

Record 5
HoLu2ScIn2 | PBE | optimized geometry

abc: 5.2052 5.2052 6.5675
angles: 90.00 90.00 120.00
Space group P-6m2 (No. 187)
Unique sites:
1 Ho 0.0000 0.0000 0.0000 (multiplicity 1)
2 Lu 0.3333 0.6667 0.2568 (multiplicity 2)
3 Sc 0.6667 0.3333 0.5000 (multiplicity 1)
4 In 0.0000 0.0000 0.5000 (multiplicity 1)
5 In 0.6667 0.3333 0.0000 (multiplicity 1)

Results
raw total energy: -4.578 eV/atom
magnetic moment: 0.86 μB per cell

=====

Record 6
SmHo2LuIn2 | PBE | optimized geometry

abc: 5.3647 5.3647 6.7201
angles: 90.00 90.00 120.00
Space group P-6m2 (No. 187)
Unique sites:
1 Sm 0.0000 0.0000 0.0000 (multiplicity 1)
2 Ho 0.3333 0.6667 0.2566 (multiplicity 2)
3 Lu 0.6667 0.3333 0.5000 (multiplicity 1)
4 In 0.0000 0.0000 0.5000 (multiplicity 1)
5 In 0.6667 0.3333 0.0000 (multiplicity 1)

Results
raw total energy: -4.317 eV/atom
magnetic moment: 0.84 μB per cell

=====

Record 7
HoLu2ZnIn2 | PBE | optimized geometry

abc: 5.0203 5.0203 6.9302
angles: 90.00 90.00 120.00
Space group P-6m2 (No. 187)
Unique sites:
1 Ho 0.0000 0.0000 0.0000 (multiplicity 1)
2 Lu 0.3333 0.6667 0.2600 (multiplicity 2)
3 Zn 0.6667 0.3333 0.5000 (multiplicity 1)
4 In 0.0000 0.0000 0.5000 (multiplicity 1)
5 In 0.6667 0.3333 0.0000 (multiplicity 1)

Results
raw total energy: -3.631 eV/atom
magnetic moment: 0.01 μB per cell

=====

Record 8
HoMgIn | PBE | optimized geometry

abc: 7.141 7.141 7.141
angles: 90.00 90.00 90.00
Space group F-43m (No. 216)
Unique sites:
1 Ho 0.000 0.000 0.000 (multiplicity 4)
2 Mg 0.250 0.250 0.250 (multiplicity 4)
3 In 0.250 0.250 0.750 (multiplicity 4)

Results
raw total energy: -2.729 eV/atom
magnetic moment: 0.01 μB per cell

=====

Record 9
HoMgIn | PBE | optimized geometry

abc: 6.997 6.997 6.997
angles: 90.00 90.00 90.00
Space group F-43m (No. 216)
Unique sites:
1 Ho 0.000 0.000 0.000 (multiplicity 4)
2 Mg 0.000 0.000 0.500 (multiplicity 4)
3 In 0.250 0.250 0.250 (multiplicity 4)

Results
raw total energy: -3.141 eV/atom
magnetic moment: 0.00 μB per cell

=====

Record 10
HoMgIn2 | PBE | optimized geometry

abc: 4.614 4.614 4.479
angles: 90.00 90.00 90.00
Space group P4/mmm (No. 123)
Unique sites:
1 Ho 0.000 0.000 0.000 (multiplicity 1)
2 Mg 0.500 0.500 0.000 (multiplicity 1)
3 In 0.000 0.500 0.500 (multiplicity 2)

Results
raw total energy: -3.295 eV/atom
magnetic moment: 0.00 μB per cell

=====

Record 11
HoMgIn | PBE | optimized geometry

abc: 7.5046 7.5046 4.6275
angles: 90.00 90.00 120.00
Space group P-62m (No. 189)
Unique sites:
1 Ho 0.0000 0.5714 0.0000 (multiplicity 3)
2 Mg 0.0000 0.0000 0.0000 (multiplicity 1)
3 Mg 0.3333 0.6667 0.5000 (multiplicity 2)
4 In 0.0000 0.2505 0.5000 (multiplicity 3)

Results
raw total energy: -3.179 eV/atom
magnetic moment: 0.02 μB per cell

=====

Record 12
HoMgIn | PBE | optimized geometry

abc: 7.4738 7.4738 4.6793
angles: 90.00 90.00 120.00
Space group P-62m (No. 189)
Unique sites:
1 Ho 0.0000 0.5622 0.0000 (multiplicity 3)
2 Mg 0.0000 0.2403 0.5000 (multiplicity 3)
3 In 0.0000 0.0000 0.0000 (multiplicity 1)
4 In 0.3333 0.6667 0.5000 (multiplicity 2)

Results
raw total energy: -3.337 eV/atom
magnetic moment: 0.00 μB per cell

=====

Which of these has the highest raw total energy?
number 8

=====

What is the formula in the fourth record?
HoLu2In3Pt2

=====

raw total energy of number 7 (HoLu2ZnIn2)?
-3.631 eV/atom